Below is a geometry-optimized LuPd2Au structure, with properties calculated at the PBE level.

Summary:
energy of formation	-305	kJ/mol of formula units
DFT total energy	-5.337	eV per atom

Cell: 4.6688 4.6688 4.6688 Å, 60.00 60.00 60.00°
Sites, in units of the cell vectors:
Lu  0.0000  0.0000  0.0000
Au  0.5000  0.5000  0.5000
Pd  0.2500  0.2500  0.2500
Pd  0.7500  0.7500  0.7500